1.
# LiRe2Sb (SCAN, single point on PBEsol structure)
# Total moment, μB per cell: 2.139
# Uncorrected formation energy, eV per atom: 0.25
# Calculated volume, Å³/f.u.: 60
data_LiRe2Sb
_chemical_formula_sum 'Li4 Re8 Sb4'
_symmetry_space_group_name_H-M 'F -4 3 m'
_symmetry_Int_Tables_number 216
_symmetry_space_group_name_Hall 'F -4 2 3'
_cell_length_a 6.223
_cell_length_b 6.223
_cell_length_c 6.223
_cell_angle_alpha 90.00
_cell_angle_beta 90.00
_cell_angle_gamma 90.00
loop_
_atom_site_label
_atom_site_fract_x
_atom_site_fract_y
_atom_site_fract_z
Li1 0.000 0.000 0.000
Re1 0.000 0.000 0.500
Re2 0.250 0.250 0.250
Sb1 0.250 0.250 0.750

=====

2.
# Sc2MoBr (SCAN, single point on PBEsol structure)
# Total moment, μB per cell: 0.000
# Uncorrected formation energy, eV per atom: -0.14
# ΔE to the lowest computed polymorph, eV per atom: 0.267
# Calculated volume, Å³/f.u.: 75
data_Sc2MoBr
_chemical_formula_sum 'Sc4 Mo2 Br2'
_symmetry_space_group_name_H-M 'A m m 2'
_symmetry_Int_Tables_number 38
_cell_length_a 4.653
_cell_length_b 3.230
_cell_length_c 10.040
_cell_angle_alpha 90.00
_cell_angle_beta 90.00
_cell_angle_gamma 90.00
loop_
_symmetry_equiv_pos_as_xyz
'x,y,z'
'-x,-y,z'
'-x,y,z'
'x,-y,z'
'x,y+1/2,z+1/2'
'-x,-y+1/2,z+1/2'
'-x,y+1/2,z+1/2'
'x,-y+1/2,z+1/2'
loop_
_atom_site_label
_atom_site_fract_x
_atom_site_fract_y
_atom_site_fract_z
Sc1 0.000 0.000 0.000
Sc2 0.500 0.000 0.294
Mo1 0.500 0.000 0.548
Br1 0.000 0.000 0.726

=====

3.
# YTcH3 (SCAN, single point on PBEsol structure)
# Raw total energy, eV per atom: -13.97
# Total moment, μB per cell: 0.004
# Calculated volume, Å³/f.u.: 53
data_YTcH3
_chemical_formula_sum 'Y1 Tc1 H3'
_symmetry_space_group_name_H-M 'P m -3 m'
_symmetry_Int_Tables_number 221
_symmetry_space_group_name_Hall '-P 4 2 3'
_cell_length_a 3.763
_cell_length_b 3.763
_cell_length_c 3.763
_cell_angle_alpha 90.00
_cell_angle_beta 90.00
_cell_angle_gamma 90.00
loop_
_atom_site_label
_atom_site_fract_x
_atom_site_fract_y
_atom_site_fract_z
Y1 0.000 0.000 0.000
Tc1 0.500 0.500 0.500
H1 0.000 0.000 0.500

=====

4.
# Cr4Tc (SCAN, single point on PBEsol structure)
# Total moment, μB per cell: 0.001
# Energy of formation from the pure elements, meV per atom: 5
# Calculated volume, Å³/f.u.: 59
data_Cr4Tc
_chemical_formula_sum 'Cr8 Tc2'
_symmetry_space_group_name_H-M 'I 4/m'
_symmetry_Int_Tables_number 87
_symmetry_space_group_name_Hall '-I 4'
_cell_length_a 6.412
_cell_length_b 6.412
_cell_length_c 2.858
_cell_angle_alpha 90.00
_cell_angle_beta 90.00
_cell_angle_gamma 90.00
loop_
_atom_site_label
_atom_site_fract_x
_atom_site_fract_y
_atom_site_fract_z
Cr1 0.103 0.307 0.000
Tc1 0.000 0.000 0.500

=====

5.
# ScReSbTe2 (SCAN, single point on PBEsol structure)
# Total moment, μB per cell: 4.261
# Uncorrected formation energy, eV per atom: 1.16
# Calculated volume, Å³/f.u.: 154
data_ScReSbTe2
_chemical_formula_sum 'Sc1 Re1 Sb1 Te2'
_symmetry_space_group_name_H-M 'P 4/m m m'
_symmetry_Int_Tables_number 123
_symmetry_space_group_name_Hall '-P 4 2'
_cell_length_a 5.333
_cell_length_b 5.333
_cell_length_c 5.424
_cell_angle_alpha 90.00
_cell_angle_beta 90.00
_cell_angle_gamma 90.00
loop_
_atom_site_label
_atom_site_fract_x
_atom_site_fract_y
_atom_site_fract_z
Sc1 0.000 0.000 0.000
Re1 0.500 0.500 0.500
Sb1 0.000 0.000 0.500
Te1 0.000 0.500 0.000

=====

6.
# SrHfCuRh2 (SCAN, single point on PBEsol structure)
# Total moment, μB per cell: 0.000
# Energy of formation from the pure elements, meV per atom: 761
# Calculated volume, Å³/f.u.: 101
data_SrHfCuRh2
_chemical_formula_sum 'Sr1 Hf1 Cu1 Rh2'
_symmetry_space_group_name_H-M 'P 4/m m m'
_symmetry_Int_Tables_number 123
_symmetry_space_group_name_Hall '-P 4 2'
_cell_length_a 4.677
_cell_length_b 4.677
_cell_length_c 4.598
_cell_angle_alpha 90.00
_cell_angle_beta 90.00
_cell_angle_gamma 90.00
loop_
_atom_site_label
_atom_site_fract_x
_atom_site_fract_y
_atom_site_fract_z
Sr1 0.000 0.000 0.000
Hf1 0.500 0.500 0.000
Cu1 0.000 0.000 0.500
Rh1 0.000 0.500 0.500